Entry 1:
VASP calculation (PBE) on an optimized crystal structure of Ce2Dy5Tl4.

Structure (POSCAR):
```
Ce2Dy5Tl4
1.0
-2.8936 4.6334 6.2857
2.8936 -4.6334 6.2857
2.8936 4.6334 -6.2857
Ce Dy Tl
2 5 4
Direct
0.1192 0.1192 0.0000
0.8808 0.8808 0.0000
0.0000 0.5000 0.5000
0.0677 0.7429 0.3248
0.4181 0.7429 0.6752
0.5819 0.2571 0.3248
0.9323 0.2571 0.6752
0.3226 0.0000 0.3226
0.3750 0.3750 0.0000
0.6250 0.6250 0.0000
0.6774 0.0000 0.6774
```

Output
DFT formation energy: 0.18 eV/atom
Symmetry: Immm

***

Entry 2:
VASP calculation (PBE) on an optimized crystal structure of BeSnSb2I.

Structure (POSCAR):
```
BeSnSb2I
1.0
4.9984 0.0000 0.0000
0.0000 4.9984 0.0000
0.0000 0.0000 5.4050
Be Sn Sb I
1 1 2 1
Direct
0.0000 0.0000 0.0000
0.5000 0.5000 0.5000
0.0000 0.5000 0.0000
0.5000 0.0000 0.0000
0.0000 0.0000 0.5000
```

Output
Polymorph energy (0 for the lowest one): 0.0 kJ/mol of atoms
E_form (uncorrected): 401 meV/atom
Symmetry: P4/mmm

***

Entry 3:
VASP calculation (PBE) on an optimized crystal structure of Nd3Mn5Te12.

Structure (POSCAR):
```
Nd3Mn5Te12
1.0
-8.5712 8.5712 8.5712
8.5712 -8.5712 8.5712
8.5712 8.5712 -8.5712
Nd Mn Te
12 20 48
Direct
0.1250 0.2500 0.3750
0.1250 0.3750 0.7500
0.2500 0.3750 0.1250
0.2500 0.8750 0.6250
0.3750 0.1250 0.2500
0.3750 0.7500 0.1250
0.6250 0.2500 0.8750
0.6250 0.8750 0.7500
0.7500 0.1250 0.3750
0.7500 0.6250 0.8750
0.8750 0.6250 0.2500
0.8750 0.7500 0.6250
0.0000 0.0000 0.0000
0.0000 0.0000 0.5000
0.0000 0.5000 0.0000
0.0000 0.5000 0.5000
0.1250 0.7500 0.8750
0.1250 0.8750 0.2500
0.2500 0.1250 0.8750
0.2500 0.6250 0.3750
0.3750 0.2500 0.6250
0.3750 0.6250 0.7500
0.5000 0.0000 0.0000
0.5000 0.0000 0.5000
0.5000 0.5000 0.0000
0.5000 0.5000 0.5000
0.6250 0.3750 0.2500
0.6250 0.7500 0.3750
0.7500 0.3750 0.6250
0.7500 0.8750 0.1250
0.8750 0.1250 0.7500
0.8750 0.2500 0.1250
0.0317 0.2068 0.1203
0.0317 0.3249 0.9114
0.0865 0.7068 0.6751
0.0865 0.8797 0.4114
0.0886 0.6203 0.4135
0.0886 0.9683 0.6751
0.1203 0.0317 0.2068
0.1203 0.5886 0.9135
0.1751 0.2068 0.5865
0.1751 0.4683 0.5886
0.2068 0.1203 0.0317
0.2068 0.5865 0.1751
0.2932 0.3249 0.9135
0.2932 0.4683 0.3797
0.3249 0.9114 0.0317
0.3249 0.9135 0.2932
0.3797 0.2932 0.4683
0.3797 0.5865 0.9114
0.4114 0.0865 0.8797
0.4114 0.8249 0.5317
0.4135 0.0886 0.6203
0.4135 0.8249 0.7932
0.4683 0.3797 0.2932
0.4683 0.5886 0.1751
0.5317 0.4114 0.8249
0.5317 0.6203 0.7068
0.5865 0.1751 0.2068
0.5865 0.9114 0.3797
0.5886 0.1751 0.4683
0.5886 0.9135 0.1203
0.6203 0.4135 0.0886
0.6203 0.7068 0.5317
0.6751 0.0865 0.7068
0.6751 0.0886 0.9683
0.7068 0.5317 0.6203
0.7068 0.6751 0.0865
0.7932 0.4135 0.8249
0.7932 0.8797 0.9683
0.8249 0.5317 0.4114
0.8249 0.7932 0.4135
0.8797 0.4114 0.0865
0.8797 0.9683 0.7932
0.9114 0.0317 0.3249
0.9114 0.3797 0.5865
0.9135 0.1203 0.5886
0.9135 0.2932 0.3249
0.9683 0.6751 0.0886
0.9683 0.7932 0.8797
```

Output
E_form (uncorrected): -568 meV/atom
Symmetry: Ia-3d

***

Entry 4:
VASP calculation (PBE) on an optimized crystal structure of Pr2Y8Tm.

Structure (POSCAR):
```
Pr2Y8Tm
1.0
4.5424 -8.0220 0.0000
4.5424 8.0220 0.0000
-3.1263 0.0000 5.0353
Pr Y Tm
2 8 1
Direct
0.1942 0.8058 0.0000
0.8058 0.1942 0.0000
0.0794 0.0794 0.2987
0.1736 0.4017 0.8354
0.2919 0.7081 0.5000
0.4017 0.1736 0.8354
0.5983 0.8264 0.1646
0.7081 0.2919 0.5000
0.8264 0.5983 0.1646
0.9206 0.9206 0.7013
0.5000 0.5000 0.5000
```

Output
DFT formation energy: 0.16 eV/atom
Symmetry: C2/m

***

Entry 5:
VASP calculation (PBE) on an optimized crystal structure of Li5Mg8Ga.

Structure (POSCAR):
```
Li5Mg8Ga
1.0
-4.1031 4.1031 4.5306
4.1031 -4.1031 4.5306
4.1031 4.1031 -4.5306
Li Mg Ga
5 8 1
Direct
0.0000 0.0000 0.0000
0.0246 0.1993 0.5952
0.5706 0.9754 0.1747
0.6041 0.4294 0.4048
0.8007 0.3959 0.8253
0.0857 0.6842 0.7550
0.2830 0.5383 0.1051
0.3158 0.0707 0.4014
0.4332 0.1779 0.8949
0.4617 0.5668 0.7447
0.6693 0.9143 0.5986
0.8221 0.7170 0.2553
0.9293 0.3307 0.2450
0.2500 0.7500 0.5000
```

Output
DFT formation energy: 0.03 eV/atom
Symmetry: I-4

***

Entry 6:
VASP calculation (PBE) on an optimized crystal structure of CuTc2Se.

Structure (POSCAR):
```
CuTc2Se
1.0
-2.0130 2.0130 3.6070
2.0130 -2.0130 3.6070
2.0130 2.0130 -3.6070
Cu Tc Se
1 2 1
Direct
0.0000 0.0000 0.0000
0.5000 0.5000 0.0000
0.7500 0.2500 0.5000
0.2500 0.7500 0.5000
```

Output
E_form (uncorrected): 438 meV/atom
Symmetry: I-4m2

***

Entry 7:
VASP calculation (PBE) on an optimized crystal structure of Ac2MgAs3Pt12.

Structure (POSCAR):
```
Ac2MgAs3Pt12
1.0
4.2492 2.4533 6.1660
-4.2492 2.4533 6.1660
0.0000 -4.9066 6.1660
Ac Mg As Pt
2 1 3 12
Direct
0.1160 0.1160 0.1160
0.8840 0.8840 0.8840
0.5000 0.5000 0.5000
0.0000 0.5000 0.5000
0.5000 0.0000 0.5000
0.5000 0.5000 0.0000
0.1323 0.6281 0.6281
0.1472 0.1472 0.6118
0.1472 0.6118 0.1472
0.3719 0.3719 0.8677
0.3719 0.8677 0.3719
0.3882 0.8528 0.8528
0.6118 0.1472 0.1472
0.6281 0.1323 0.6281
0.6281 0.6281 0.1323
0.8528 0.3882 0.8528
0.8528 0.8528 0.3882
0.8677 0.3719 0.3719
```

Output
DFT formation energy: -0.33 eV/atom
Symmetry: R-3m

***

Entry 8:
VASP calculation (PBE) on an optimized crystal structure of In3ReC.

Structure (POSCAR):
```
In3ReC
1.0
5.2360 0.0000 0.0000
0.0000 5.2360 0.0000
0.0000 0.0000 5.2360
In Re C
3 1 1
Direct
0.0000 0.0000 0.5000
0.0000 0.5000 0.0000
0.5000 0.0000 0.0000
0.0000 0.0000 0.0000
0.5000 0.5000 0.5000
```

Output
Polymorph energy (0 for the lowest one): 30.7 kJ/mol of atoms
DFT formation energy: 1.79 eV/atom
Symmetry: Pm-3m

***

Entry 9:
VASP calculation (PBE) on an optimized crystal structure of HfNbTcMo.

Structure (POSCAR):
```
HfNbTcMo
1.0
0.0000 3.2501 3.2501
3.2501 0.0000 3.2501
3.2501 3.2501 0.0000
Hf Nb Tc Mo
1 1 1 1
Direct
0.0000 0.0000 0.0000
0.5000 0.5000 0.5000
0.7500 0.7500 0.7500
0.2500 0.2500 0.2500
```

Output
Polymorph energy (0 for the lowest one): 1.6 kJ/mol of atoms
DFT formation energy: -0.25 eV/atom
Symmetry: F-43m

***

Entry 10:
VASP calculation (PBE) on an optimized crystal structure of Li2TbHo2Sn2.

Structure (POSCAR):
```
Li2TbHo2Sn2
1.0
2.3877 1.3786 8.7975
-2.3877 1.3786 8.7975
0.0000 -2.7571 8.7975
Li Tb Ho Sn
2 1 2 2
Direct
0.0962 0.0962 0.0962
0.9038 0.9038 0.9038
0.5000 0.5000 0.5000
0.3708 0.3708 0.3708
0.6292 0.6292 0.6292
0.2374 0.2374 0.2374
0.7626 0.7626 0.7626
```

Output
DFT formation energy: -0.44 eV/atom
Symmetry: R-3m

***

Entry 11:
VASP calculation (PBE) on an optimized crystal structure of Ni2HgW.

Structure (POSCAR):
```
Ni2HgW
1.0
4.2277 -1.3795 0.0000
4.2277 1.3795 0.0000
-0.7086 0.0000 5.1605
Ni Hg W
2 1 1
Direct
0.2457 0.2457 0.2020
0.7543 0.7543 0.7980
0.0000 0.0000 0.5000
0.5000 0.5000 0.0000
```

Output
DFT formation energy: 0.34 eV/atom
Symmetry: C2/m

***

Entry 12:
VASP calculation (PBE) on an optimized crystal structure of AlFeAg2.

Structure (POSCAR):
```
AlFeAg2
1.0
1.4269 0.8238 9.0594
-1.4269 0.8238 9.0594
0.0000 -1.6476 9.0594
Al Fe Ag
1 1 2
Direct
0.0000 0.0000 0.0000
0.5000 0.5000 0.5000
0.2500 0.2500 0.2500
0.7500 0.7500 0.7500
```

Output
DFT formation energy: 0.25 eV/atom
Symmetry: R-3m

***

Entry 13:
VASP calculation (PBE) on an optimized crystal structure of CeZn8Co4.

Structure (POSCAR):
```
CeZn8Co4
1.0
-4.3630 4.3630 2.4690
4.3630 -4.3630 2.4690
4.3630 4.3630 -2.4690
Ce Zn Co
1 8 4
Direct
0.0000 0.0000 0.0000
0.0000 0.3439 0.3439
0.0000 0.6561 0.6561
0.2724 0.5000 0.7724
0.3439 0.0000 0.3439
0.5000 0.2724 0.7724
0.5000 0.7276 0.2276
0.6561 0.0000 0.6561
0.7276 0.5000 0.2276
0.0000 0.0000 0.5000
0.0000 0.5000 0.0000
0.5000 0.0000 0.0000
0.5000 0.5000 0.5000
```

Output
DFT formation energy: -0.13 eV/atom
Symmetry: I4/mmm

***

Entry 14:
VASP calculation (PBE) on an optimized crystal structure of MgMoAu2.

Structure (POSCAR):
```
MgMoAu2
1.0
-2.0262 2.0262 9.3134
2.0262 -2.0262 9.3134
2.0262 2.0262 -9.3134
Mg Mo Au
2 2 4
Direct
0.0000 0.0000 0.0000
0.7500 0.2500 0.5000
0.2500 0.7500 0.5000
0.5000 0.5000 0.0000
0.1232 0.6250 0.9982
0.3750 0.3732 0.4982
0.6268 0.1250 0.0018
0.8750 0.8768 0.5018
```

Output
DFT formation energy: 0.54 eV/atom
Symmetry: I-42d

***

Entry 15:
VASP calculation (PBE) on an optimized crystal structure of VZnCr3.

Structure (POSCAR):
```
VZnCr3
1.0
4.2542 0.0000 0.0000
0.0000 4.2542 0.0000
0.0000 0.0000 4.2542
V Zn Cr
1 1 3
Direct
0.0000 0.0000 0.0000
0.5000 0.5000 0.5000
0.0000 0.0000 0.5000
0.0000 0.5000 0.0000
0.5000 0.0000 0.0000
```

Output
Polymorph energy (0 for the lowest one): 0.0 kJ/mol of atoms
DFT formation energy: 1.28 eV/atom
Symmetry: Pm-3m

***

Entry 16:
VASP calculation (PBE) on an optimized crystal structure of LaNdHo4Tm2.

Structure (POSCAR):
```
LaNdHo4Tm2
1.0
7.1438 0.0000 0.0000
3.5704 6.1974 0.0000
0.0093 0.0023 11.5087
La Nd Ho Tm
2 2 8 4
Direct
0.0000 0.0000 0.0000
0.0000 0.5000 0.0000
0.0000 0.0000 0.5000
0.5000 0.0000 0.0000
0.1668 0.1680 0.7467
0.1670 0.6666 0.7470
0.3327 0.3329 0.2531
0.3333 0.8327 0.2528
0.6667 0.1673 0.7472
0.6673 0.6671 0.7469
0.8330 0.3334 0.2530
0.8332 0.8320 0.2533
0.0000 0.5000 0.5000
0.5000 0.0000 0.5000
0.5000 0.5000 0.0000
0.5000 0.5000 0.5000
```

Output
DFT formation energy: 0.01 eV/atom
Symmetry: P-1

***

Entry 17:
VASP calculation (PBE) on an optimized crystal structure of LaPr2Nd6.

Structure (POSCAR):
```
LaPr2Nd6
1.0
10.2902 0.0000 0.0000
-5.1451 8.9116 0.0000
0.0000 0.0000 3.5027
La Pr Nd
1 2 6
Direct
0.0000 0.0000 0.0000
0.3333 0.6667 0.5000
0.6667 0.3333 0.5000
0.0000 0.3379 0.2265
0.0000 0.6621 0.7735
0.3379 0.0000 0.2265
0.3379 0.3379 0.7735
0.6621 0.0000 0.7735
0.6621 0.6621 0.2265
```

Output
Polymorph energy (0 for the lowest one): 8.6 kJ/mol of atoms
DFT formation energy: 0.14 eV/atom
Symmetry: P-31m

***

Entry 18:
VASP calculation (PBE) on an optimized crystal structure of Tm6PtRh2.

Structure (POSCAR):
```
Tm6PtRh2
1.0
-4.5882 4.6467 4.9454
4.5882 -4.6467 4.9454
4.5882 4.6467 -4.9454
Tm Pt Rh
12 2 4
Direct
0.0270 0.8305 0.1965
0.2492 0.5601 0.3109
0.2492 0.9383 0.6891
0.2713 0.3230 0.5943
0.2713 0.6770 0.9482
0.3660 0.1695 0.1965
0.6340 0.8305 0.8035
0.7287 0.3230 0.0518
0.7287 0.6770 0.4057
0.7508 0.0617 0.3109
0.7508 0.4399 0.6891
0.9730 0.1695 0.8035
0.0000 0.5000 0.5000
0.5000 0.0000 0.5000
0.0000 0.1657 0.1657
0.0000 0.8343 0.8343
0.3673 0.3673 0.0000
0.6327 0.6327 0.0000
```

Output
DFT formation energy: -0.76 eV/atom
Symmetry: Immm

***

Entry 19:
VASP calculation (PBE) on an optimized crystal structure of UBeH2O6.

Structure (POSCAR):
```
UBeH2O6
1.0
4.9236 0.0000 0.0000
2.1132 4.5076 0.0000
2.4312 -1.0403 4.5380
U Be H O
1 1 2 6
Direct
0.0000 0.0000 0.0000
0.0019 0.4979 0.4975
0.4803 0.6013 0.3008
0.5177 0.3989 0.6998
0.1096 0.1593 0.2510
0.1242 0.2535 0.7173
0.4591 0.4179 0.2728
0.5393 0.5821 0.7278
0.8748 0.7473 0.2835
0.8894 0.8419 0.7500
```

Output
Symmetry: P1
Energy: -6.8447 eV/atom

***

Entry 20:
VASP calculation (PBE) on an optimized crystal structure of K2TaP.

Structure (POSCAR):
```
K2TaP
1.0
3.6735 -2.1165 0.0000
3.6735 2.1165 0.0000
-2.3744 0.0000 9.7356
K Ta P
2 1 1
Direct
0.0000 0.0000 0.0000
0.1819 0.1819 0.5653
0.7590 0.7590 0.2828
0.4260 0.4260 0.2831
```

Output
DFT formation energy: 0.22 eV/atom
Symmetry: Cm

***

The calculation returns the following density of states at the Fermi level values, one per record and in order: 20.0; 3.6; 6.5; 15.5; 7.3; 3.8; 7.2; 6.2; 3.6; 4.2; 2.4; 3.5; 13.2; 3.7; 6.6; 11.6; 18.3; 7.0; 5.6; 3.4 states/eV/f.u..